Entry 1:
Material: Mg2UPd8
Method: DFT, PBE-GGA
State: relaxed

E_form = -0.475 eV per atom
Total energy = -0.4092 Ry/atom
Fermi-level density of states = 0.797 states/eV per atom

Cell: 5.3003 5.2585 6.9085 Å, 98.20 99.12 95.42°
Site moments in Bohr magnetons follow the coordinates.
Fractional coordinates of all 11 atoms:
Mg (0.1732, 0.6314, 0.3468)  0.00
Mg (0.8268, 0.3686, 0.6532)  0.00
U (0.5000, 0.0000, 0.0000)  1.27
Pd (0.6278, 0.5139, 0.2014)  -0.03
Pd (0.1486, 0.9490, 0.6789)  -0.04
Pd (0.3697, 0.1730, 0.3943)  -0.03
Pd (0.9430, 0.7387, 0.9719)  -0.03
Pd (0.6303, 0.8270, 0.6057)  -0.03
Pd (0.8514, 0.0510, 0.3211)  -0.04
Pd (0.3722, 0.4861, 0.7986)  -0.03
Pd (0.0570, 0.2613, 0.0281)  -0.03



Entry 2:
Material: MgTiBeCo
Method: DFT, PBE-GGA
State: relaxed

E_form = -0.043 eV per atom
Total energy = -0.3766 Ry/atom
Fermi-level density of states = 1.071 states/eV per atom

Cell: 4.2084 4.2084 4.2084 Å, 60.00 60.00 60.00°
Fractional coordinates of all 4 atoms:
Be (0.7500, 0.7500, 0.7500)
Mg (0.5000, 0.5000, 0.5000)
Co (0.2500, 0.2500, 0.2500)
Ti (0.0000, 0.0000, 0.0000)



Entry 3:
Material: PaTiGe2O8
Method: DFT, PBE-GGA
State: relaxed

Total energy = -0.5789 Ry/atom
Formation energy without anion corrections = -2.3519 eV/atom
Fermi-level density of states = 0.355 states/eV per atom

Cell: 5.8163 5.8163 5.8163 Å, 107.52 107.52 113.45°
Site moments in Bohr magnetons follow the coordinates.
Fractional coordinates of all 12 atoms:
Pa (0.0000, 0.0000, 0.0000)  0.24
Ti (0.2500, 0.7500, 0.5000)  0.80
Ge (0.7500, 0.2500, 0.5000)  0.00
Ge (0.5000, 0.5000, 0.0000)  0.01
O (0.3740, 0.0547, 0.3192)  -0.01
O (0.3124, 0.5037, 0.1913)  -0.01
O (0.3124, 0.1211, 0.8087)  -0.01
O (0.7355, 0.0547, 0.6808)  -0.01
O (0.8789, 0.6876, 0.1913)  -0.01
O (0.9453, 0.2645, 0.3192)  -0.01
O (0.9453, 0.6260, 0.6808)  -0.01
O (0.4963, 0.6876, 0.8087)  -0.01